RbHfAs2Br: optimized geometry, PBE.

The structure in POSCAR format:
```
RbHfAs2Br
1.0
5.152 0.000 0.000
0.000 5.152 0.000
0.000 0.000 5.785
As Hf Br Rb
2 1 1 1
direct
0.000 0.500 0.000
0.500 0.000 0.000
0.000 0.000 0.000
0.000 0.000 0.500
0.500 0.500 0.500
```

The energy above the lowest structure with this stoichiometry is 0 meV/atom. The value obtained for the formation energy from raw total energies is -635.2 meV/atom.